(1)
Y4Sc2Cu3C3 | PBE-GGA | optimized geometry

The structure in extended XYZ format:
```
24
Lattice="-5.067 3.333 -0.392 -5.419 -2.729 -0.351 2.451 -0.043 14.729" Properties=species:S:1:pos:R:3 pbc="T T T"
Cu -3.556 -2.338 10.693
Cu -2.065 1.100 3.484
Cu -0.950 -0.828 10.862
Cu -7.085 1.389 3.124
Cu -4.479 2.899 3.293
Cu -5.970 -0.539 10.502
Y -1.320 -0.397 5.849
Y 0.288 0.537 8.635
Y -8.323 0.024 5.352
Y -0.035 0.605 13.206
Y -0.995 -0.429 1.277
Y -8.000 -0.044 0.780
Y -7.040 0.990 12.710
Y -6.715 0.959 8.138
Sc -3.553 0.803 13.062
Sc -3.198 0.750 8.282
Sc -4.482 -0.242 0.925
Sc -4.837 -0.189 5.704
C -3.285 -1.181 7.057
C -1.308 1.645 7.169
C -6.140 -1.065 -0.416
C -2.710 -1.365 -0.175
C -1.895 1.627 14.403
C -4.750 1.742 6.929
```

Output
DFT total energy ... -6.57 eV/atom
Total magnetic moment ... 0.043 μB/atom
Volume ... 464.3 Å³/cell

=====

(2)
DyGaB4 | PBE-GGA | optimized geometry

The structure in extended XYZ format:
```
6
Lattice="-1.596 2.586 4.000 1.596 -2.586 4.000 1.596 2.586 -4.000" Properties=species:S:1:pos:R:3 pbc="T T T"
B 0.000 1.682 1.902
B 1.596 -0.904 2.098
B 1.596 0.904 2.098
B 0.000 3.490 1.902
Ga 0.000 0.000 0.000
Dy 0.000 0.000 4.000
```

Output
Excess energy over the best structure of this formula in the dataset ... 0.000 eV/f.u.
Total magnetic moment ... 0.000 μB/atom
Volume ... 66.0 Å³/cell

=====

> The lowest total magnetic moment belongs to which entry?

DyGaB4